AsRhSe2O: relaxed, GGA-PBE.

energy	-3.853	eV per atom
density	5219	kg/m3
total magnetization	0.02	Bohr magnetons per cell

Unit cell a=4.8444 b=4.8444 c=4.7684 alpha=90.00 beta=90.00 gamma=90.00
Last column: nearest neighbours and their distance in Å.
Space group P4/mmm (No. 123)
Symmetry-distinct sites (fractional):
1 As 0.0000 0.0000 0.0000 x1  2 Rh 2.38
2 Rh 0.0000 0.0000 0.5000 x1  2 As 2.38, 4 Se 2.42
3 Se 0.0000 0.5000 0.5000 x2  2 Rh 2.42
4 O 0.5000 0.5000 0.0000 x1  8 Se 3.40, 4 As 3.43